# SrVPb2F8

A relaxed SrVPb2F8 crystal (PBE with a Hubbard U, Alexandria via LeMat-Bulk).

## Properties
density of states at the Fermi level: 0.0 states/eV/f.u.
space-group type: P2/m (10)
energy: -5.427 eV/atom

a = 4.2598 Å, b = 5.7683 Å, c = 7.9530 Å
α = 90.00°, β = 90.00°, γ = 94.29°
Each line ends with the local moment (μB).
Element x y z (fractional)
Sr 0.0000 0.0000 0.5000  0.00
V 0.0000 0.0000 0.0000  2.76
Pb 0.5000 0.5000 0.7629  0.00
Pb 0.5000 0.5000 0.2371  0.00
F 0.0404 0.7689 0.2238  0.00
F 0.5742 0.7752 0.0000  0.00
F 0.9596 0.2311 0.2238  0.00
F 0.9596 0.2311 0.7762  0.00
F 0.4258 0.2248 0.0000  0.00
F 0.0404 0.7689 0.7762  0.00
F 0.4974 0.7574 0.5000  0.00
F 0.5026 0.2426 0.5000  0.00